Record 1
Er8RuAu2 | PBE | optimized geometry

Summary:
- energy relative to the lowest polymorph listed for this composition (meV/atom) = 0
- formation enthalpy at 0 K (eV/atom) = -0.445
- total moment (μB per formula unit) = 0.00
- calculated total energy (eV for the cell shown) = -114.460

a = 17.1799 Å, b = 5.0992 Å, c = 6.7756 Å
α = 90.00°, β = 107.74°, γ = 90.00°
Last column: nearest neighbours and their distance in Å.
Space group C2/m (No. 12)
One atom of each set of equivalent atoms:
Er1 0.0285 0.0000 0.2937 x4  1 Au 2.90, 2 Ru 3.02, 1 Er 3.23
Er2 0.0913 0.5000 0.9348 x4  1 Ru 2.88
Er3 0.1612 0.5000 0.4653 x4  1 Ru 2.85, 3 Au 2.87-3.17
Er4 0.1990 0.0000 0.8053 x4  1 Au 2.84
Ru1 0.0000 0.5000 0.5000 x2  8 Er 2.85-3.02
Au1 0.1846 0.0000 0.2121 x4  5 Er 2.84-3.17


Record 2
Er7Ru2Au2 | PBE | optimized geometry

Summary:
- energy relative to the lowest polymorph listed for this composition (meV/atom) = 146
- formation enthalpy at 0 K (eV/atom) = -0.396
- total moment (μB per formula unit) = 0.00
- calculated total energy (eV for the cell shown) = -122.797

a = 7.7502 Å, b = 10.6156 Å, c = 6.9711 Å
α = 90.00°, β = 90.00°, γ = 90.00°
Last column: nearest neighbours and their distance in Å.
Space group Cmmm (No. 65)
One atom of each set of equivalent atoms:
Er1 0.0000 0.0000 0.0000 x2  2 Ru 3.11
Er2 0.0000 0.5000 0.2483 x4  2 Ru 2.80, 2 Au 2.99
Er3 0.2500 0.2500 0.2595 x8  2 Ru 2.69
Ru1 0.0000 0.2930 0.0000 x4  6 Er 2.69-2.80
Au1 0.1882 0.0000 0.5000 x4  1 Au 2.92, 6 Er 2.99-3.18


Record 3
Er8RuAu2 | PBE | optimized geometry

Summary:
- energy relative to the lowest polymorph listed for this composition (meV/atom) = 120
- formation enthalpy at 0 K (eV/atom) = -0.325
- total moment (μB per formula unit) = 0.00
- calculated total energy (eV for the cell shown) = -111.823

a = 8.1036 Å, b = 13.8819 Å, c = 5.7734 Å
α = 90.00°, β = 114.43°, γ = 90.00°
Last column: nearest neighbours and their distance in Å.
Space group Cm (No. 8)
One atom of each set of equivalent atoms:
Er1 0.0000 0.0000 0.0000 x2  1 Ru 2.77
Er2 0.0801 0.3816 0.8324 x4  2 Au 2.90-3.00, 1 Ru 3.12
Er3 0.1383 0.1171 0.5868 x4  2 Au 2.89-2.94, 1 Ru 3.07
Er4 0.2153 0.5000 0.3963 x2  1 Ru 2.72
Er5 0.3623 0.1960 0.2008 x4  1 Ru 2.83
Ru1 0.3587 0.0000 0.0664 x2  4 Er 2.72-2.83
Au1 0.3506 0.2964 0.6886 x4  6 Er 2.89-3.23


Record 4
Er4RuAu | PBE | optimized geometry

Summary:
- energy relative to the lowest polymorph listed for this composition (meV/atom) = 0
- formation enthalpy at 0 K (eV/atom) = -0.515
- total moment (μB per formula unit) = 0.00
- calculated total energy (eV for the cell shown) = -135.567

a = 8.9203 Å, b = 12.9628 Å, c = 6.2229 Å
α = 90.00°, β = 120.81°, γ = 90.00°
Last column: nearest neighbours and their distance in Å.
Space group C2/c (No. 15)
One atom of each set of equivalent atoms:
Er1 0.1184 0.1743 0.0879 x8  2 Ru 2.88-2.90, 2 Au 3.06-3.09
Er2 0.2104 0.4339 0.2950 x8  2 Ru 2.82-2.86, 2 Au 3.04-3.11
Ru1 0.0000 0.0016 0.7500 x4  8 Er 2.82-2.90, 2 Ru 3.11
Au1 0.0000 0.3674 0.7500 x4  8 Er 3.04-3.11


Record 5
Er6Ru2Au | PBE | optimized geometry

Summary:
- formation enthalpy at 0 K (eV/atom) = -0.463
- total moment (μB per formula unit) = 0.00
- calculated total energy (eV for the cell shown) = -213.485

a = 9.2417 Å, b = 9.3056 Å, c = 10.2077 Å
α = 90.00°, β = 90.00°, γ = 90.00°
Last column: nearest neighbours and their distance in Å.
Space group Immm (No. 71)
One atom of each set of equivalent atoms:
Er1 0.0000 0.1954 0.2441 x8  1 Ru 2.77, 1 Au 3.08
Er2 0.1869 0.5000 0.1694 x8  3 Ru 2.70-2.93
Er3 0.2212 0.3195 0.5000 x8  3 Ru 2.91-2.95, 1 Au 3.08
Ru1 0.0000 0.3261 0.0000 x4  8 Er 2.77-2.93, 1 Au 3.03
Ru2 0.0000 0.5000 0.3730 x4  1 Ru 2.59, 2 Er 2.70
Au1 0.0000 0.0000 0.0000 x2  2 Ru 3.03, 8 Er 3.08
Au2 0.0000 0.0000 0.5000 x2  8 Er 3.18-3.37


Record 6
Er5Ru4Au | PBE | optimized geometry

Summary:
- formation enthalpy at 0 K (eV/atom) = -0.526
- total moment (μB per formula unit) = 0.00
- calculated total energy (eV for the cell shown) = -68.456

a = 3.3937 Å, b = 3.3937 Å, c = 17.2290 Å
α = 90.00°, β = 90.00°, γ = 90.00°
Last column: nearest neighbours and their distance in Å.
Space group P4/mmm (No. 123)
One atom of each set of equivalent atoms:
Er1 0.0000 0.0000 0.0000 x1  8 Ru 2.93
Er2 0.0000 0.0000 0.1930 x2  8 Ru 2.91-2.98
Er3 0.0000 0.0000 0.3865 x2  4 Ru 2.86, 4 Au 3.10
Ru1 0.5000 0.5000 0.0977 x2  8 Er 2.91-2.93
Ru2 0.5000 0.5000 0.2958 x2  8 Er 2.86-2.98
Au1 0.5000 0.5000 0.5000 x1  8 Er 3.10, 4 Au 3.39


Record 7
Er5RuAu4 | PBE | optimized geometry

Summary:
- formation enthalpy at 0 K (eV/atom) = -0.803
- total moment (μB per formula unit) = 0.00
- calculated total energy (eV for the cell shown) = -53.234

a = 3.5043 Å, b = 3.5043 Å, c = 17.8715 Å
α = 90.00°, β = 90.00°, γ = 90.00°
Last column: nearest neighbours and their distance in Å.
Space group P4/mmm (No. 123)
One atom of each set of equivalent atoms:
Er1 0.0000 0.0000 0.0000 x1  8 Au 3.07
Er2 0.0000 0.0000 0.2045 x2  8 Au 3.07-3.09
Er3 0.0000 0.0000 0.4083 x2  4 Ru 2.97, 4 Au 3.09, 1 Er 3.28
Ru1 0.5000 0.5000 0.5000 x1  8 Er 2.97
Au1 0.5000 0.5000 0.1010 x2  8 Er 3.07-3.09
Au2 0.5000 0.5000 0.3055 x2  8 Er 3.07-3.09


Record 8
Er7Ru2Au2 | PBE | optimized geometry

Summary:
- energy relative to the lowest polymorph listed for this composition (meV/atom) = 0
- formation enthalpy at 0 K (eV/atom) = -0.541
- total moment (μB per formula unit) = 0.00
- calculated total energy (eV for the cell shown) = -126.002

a = 3.9056 Å, b = 14.9741 Å, c = 9.2901 Å
α = 90.00°, β = 90.00°, γ = 90.00°
Last column: nearest neighbours and their distance in Å.
Space group Imm2 (No. 44)
One atom of each set of equivalent atoms:
Er1 0.0000 0.0000 0.0000 x2  3 Au 3.01-3.06
Er2 0.0000 0.1232 0.4208 x4  2 Ru 2.86, 3 Au 3.00-3.10
Er3 0.0000 0.3167 0.6244 x4  3 Ru 2.82-3.03, 1 Au 3.00
Er4 0.0000 0.3557 0.2580 x4  2 Ru 2.85, 2 Au 3.01
Ru1 0.0000 0.2375 0.9243 x4  7 Er 2.82-3.03
Au1 0.0000 0.0000 0.6755 x2  7 Er 3.00-3.01
Au2 0.0000 0.5000 0.7542 x2  8 Er 3.00-3.10


Record 9
Er12Ru3Au5 | PBE | optimized geometry

Summary:
- formation enthalpy at 0 K (eV/atom) = -0.209
- total moment (μB per formula unit) = 0.00
- calculated total energy (eV for the cell shown) = -825.152

a = 16.6370 Å, b = 16.6370 Å, c = 16.6370 Å
α = 90.00°, β = 90.00°, γ = 90.00°
Last column: nearest neighbours and their distance in Å.
Space group Ia-3d (No. 230)
One atom of each set of equivalent atoms:
Er1 0.0182 0.0788 0.6505 x96  2 Au 2.76-2.84, 1 Ru 2.90
Ru1 0.0000 0.2500 0.1250 x24  8 Er 2.90-3.18
Au1 0.0000 0.0000 0.0000 x16  6 Er 2.84
Au2 0.0000 0.2500 0.3750 x24  4 Er 2.76


Record 10
Er5Ru2Au | PBE | optimized geometry

Summary:
- formation enthalpy at 0 K (eV/atom) = -0.539
- total moment (μB per formula unit) = 0.00
- calculated total energy (eV for the cell shown) = -195.817

a = 7.6142 Å, b = 7.6142 Å, c = 13.0253 Å
α = 90.00°, β = 90.00°, γ = 90.00°
Last column: nearest neighbours and their distance in Å.
Space group I4/mcm (No. 140)
One atom of each set of equivalent atoms:
Er1 0.0000 0.0000 0.0000 x4  4 Ru 2.94, 2 Au 3.26
Er2 0.1596 0.3404 0.1364 x16  3 Ru 2.78-2.90
Ru1 0.1413 0.3587 0.5000 x8  8 Er 2.78-2.94, 1 Ru 3.04
Au1 0.0000 0.0000 0.2500 x4  10 Er 3.22-3.26


Record 11
Er4RuAu | PBE | optimized geometry

Summary:
- energy relative to the lowest polymorph listed for this composition (meV/atom) = 95
- formation enthalpy at 0 K (eV/atom) = -0.420
- total moment (μB per formula unit) = 0.01
- calculated total energy (eV for the cell shown) = -66.643

a = 6.8204 Å, b = 6.8204 Å, c = 6.8713 Å
α = 90.00°, β = 90.09°, γ = 90.00°
Last column: nearest neighbours and their distance in Å.
Space group C2/m (No. 12)
One atom of each set of equivalent atoms:
Er1 0.2496 0.2501 0.2396 x8  2 Ru 2.92, 2 Au 3.00
Ru1 0.0000 0.0000 0.0000 x2  8 Er 2.92
Au1 0.0000 0.5000 0.5000 x2  8 Er 3.00


Record 12
ErScRuAu | PBE | optimized geometry

Summary:
- formation enthalpy at 0 K (eV/atom) = -0.627
- total moment (μB per formula unit) = 0.00
- calculated total energy (eV for the cell shown) = -103.825

a = 6.7800 Å, b = 6.7800 Å, c = 6.7800 Å
α = 90.00°, β = 90.00°, γ = 90.00°
Last column: nearest neighbours and their distance in Å.
Space group F-43m (No. 216)
One atom of each set of equivalent atoms:
Er1 0.0000 0.0000 0.0000 x4  4 Ru 2.94, 4 Au 2.94
Sc1 0.0000 0.0000 0.5000 x4  4 Au 2.94, 4 Ru 2.94
Ru1 0.2500 0.2500 0.2500 x4  4 Er 2.94, 4 Sc 2.94
Au1 0.2500 0.2500 0.7500 x4  4 Er 2.94, 4 Sc 2.94


Which formula does entry 12 have?
ErScRuAu